Er2ScTi after structural relaxation, computed with PBE.

Results
Formation energy (eV/atom): 0.2101
Energy above the most stable polymorph in this dataset (eV per atom): 0.0548
Total magnetic moment (μB/f.u.): 2.97
E (eV/atom): -5.628

a = 7.4335 Å, b = 7.4335 Å, c = 7.4335 Å
α = 90.00°, β = 90.00°, γ = 90.00°
Last column: nearest neighbours and their distance in Å.
Element x y z (fractional)
Er: 0.2500 0.2500 0.2500  4 Sc 3.22, 4 Ti 3.22
Er: 0.2500 0.2500 0.7500  4 Sc 3.22, 4 Ti 3.22
Er: 0.2500 0.7500 0.2500  4 Sc 3.22, 4 Ti 3.22
Er: 0.2500 0.7500 0.7500  4 Sc 3.22, 4 Ti 3.22
Er: 0.7500 0.2500 0.2500  4 Sc 3.22, 4 Ti 3.22
Er: 0.7500 0.2500 0.7500  4 Sc 3.22, 4 Ti 3.22
Er: 0.7500 0.7500 0.2500  4 Sc 3.22, 4 Ti 3.22
Er: 0.7500 0.7500 0.7500  4 Sc 3.22, 4 Ti 3.22
Sc: 0.0000 0.0000 0.0000  8 Er 3.22
Sc: 0.0000 0.5000 0.5000  8 Er 3.22
Sc: 0.5000 0.0000 0.5000  8 Er 3.22
Sc: 0.5000 0.5000 0.0000  8 Er 3.22
Ti: 0.0000 0.0000 0.5000  8 Er 3.22
Ti: 0.0000 0.5000 0.0000  8 Er 3.22
Ti: 0.5000 0.0000 0.0000  8 Er 3.22
Ti: 0.5000 0.5000 0.5000  8 Er 3.22

***

Er2ScTi after structural relaxation, computed with PBE.

Results
Formation energy (eV/atom): 0.1828
Energy above the most stable polymorph in this dataset (eV per atom): 0.0275
Total magnetic moment (μB/f.u.): 0.40
E (eV/atom): -5.655

a = 3.3296 Å, b = 3.3296 Å, c = 31.7267 Å
α = 90.00°, β = 90.00°, γ = 120.00°
Last column: nearest neighbours and their distance in Å.
Element x y z (fractional)
Er: 0.0000 0.0000 0.0000  3 Ti 3.13, 6 Er 3.33, 3 Sc 3.40
Er: 0.0000 0.0000 0.1766  3 Ti 3.15, 6 Er 3.33, 3 Sc 3.40
Er: 0.3333 0.6667 0.6667  3 Ti 3.13, 6 Er 3.33, 3 Sc 3.40
Er: 0.3333 0.6667 0.8433  3 Ti 3.15, 6 Er 3.33, 3 Sc 3.40
Er: 0.6667 0.3333 0.3333  3 Ti 3.13, 6 Er 3.33, 3 Sc 3.40
Er: 0.6667 0.3333 0.5100  3 Ti 3.15, 6 Er 3.33, 3 Sc 3.40
Sc: 0.0000 0.0000 0.7549  6 Sc 3.33, 6 Er 3.40
Sc: 0.3333 0.6667 0.4216  6 Sc 3.33, 6 Er 3.40
Sc: 0.6667 0.3333 0.0883  6 Sc 3.33, 6 Er 3.40
Ti: 0.0000 0.0000 0.5886  6 Er 3.13-3.15, 6 Ti 3.33
Ti: 0.3333 0.6667 0.2553  6 Er 3.13-3.15, 6 Ti 3.33
Ti: 0.6667 0.3333 0.9220  6 Er 3.13-3.15, 6 Ti 3.33

***

Er2ScTi after structural relaxation, computed with PBE.

Results
Formation energy (eV/atom): 0.1553
Energy above the most stable polymorph in this dataset (eV per atom): 0.0000
Total magnetic moment (μB/f.u.): 0.00
E (eV/atom): -5.683

a = 3.3269 Å, b = 3.3269 Å, c = 9.1286 Å
α = 90.00°, β = 90.00°, γ = 90.00°
Last column: nearest neighbours and their distance in Å.
Element x y z (fractional)
Er: 0.0000 0.0000 0.2302  4 Ti 3.15, 4 Er 3.33, 4 Sc 3.41
Er: 0.0000 0.0000 0.7698  4 Ti 3.15, 4 Er 3.33, 4 Sc 3.41
Sc: 0.5000 0.5000 0.5000  4 Sc 3.33, 8 Er 3.41
Ti: 0.5000 0.5000 0.0000  8 Er 3.15, 4 Ti 3.33

***

ErScTiTl after structural relaxation, computed with PBE.

Results
Formation energy (eV/atom): -0.0088
Total magnetic moment (μB/f.u.): 3.00
E (eV/atom): -5.298

a = 7.2308 Å, b = 7.2308 Å, c = 7.2308 Å
α = 90.00°, β = 90.00°, γ = 90.00°
Last column: nearest neighbours and their distance in Å.
Element x y z (fractional)
Er: 0.0000 0.0000 0.0000  4 Tl 3.13, 4 Ti 3.13
Er: 0.0000 0.5000 0.5000  4 Tl 3.13, 4 Ti 3.13
Er: 0.5000 0.0000 0.5000  4 Tl 3.13, 4 Ti 3.13
Er: 0.5000 0.5000 0.0000  4 Tl 3.13, 4 Ti 3.13
Sc: 0.0000 0.0000 0.5000  4 Tl 3.13, 4 Ti 3.13
Sc: 0.0000 0.5000 0.0000  4 Tl 3.13, 4 Ti 3.13
Sc: 0.5000 0.0000 0.0000  4 Tl 3.13, 4 Ti 3.13
Sc: 0.5000 0.5000 0.5000  4 Tl 3.13, 4 Ti 3.13
Ti: 0.2500 0.2500 0.2500  4 Sc 3.13, 4 Er 3.13
Ti: 0.2500 0.7500 0.7500  4 Er 3.13, 4 Sc 3.13
Ti: 0.7500 0.2500 0.7500  4 Er 3.13, 4 Sc 3.13
Ti: 0.7500 0.7500 0.2500  4 Er 3.13, 4 Sc 3.13
Tl: 0.2500 0.2500 0.7500  4 Er 3.13, 4 Sc 3.13
Tl: 0.2500 0.7500 0.2500  4 Er 3.13, 4 Sc 3.13
Tl: 0.7500 0.2500 0.2500  4 Er 3.13, 4 Sc 3.13
Tl: 0.7500 0.7500 0.7500  4 Er 3.13, 4 Sc 3.13

***

ErZrScTi after structural relaxation, computed with PBE.

Results
Formation energy (eV/atom): 0.1832
Total magnetic moment (μB/f.u.): 2.40
E (eV/atom): -6.651

a = 7.2229 Å, b = 7.2229 Å, c = 7.2229 Å
α = 90.00°, β = 90.00°, γ = 90.00°
Last column: nearest neighbours and their distance in Å.
Element x y z (fractional)
Er: 0.0000 0.0000 0.0000  4 Sc 3.13, 4 Ti 3.13
Er: 0.0000 0.5000 0.5000  4 Sc 3.13, 4 Ti 3.13
Er: 0.5000 0.0000 0.5000  4 Sc 3.13, 4 Ti 3.13
Er: 0.5000 0.5000 0.0000  4 Sc 3.13, 4 Ti 3.13
Zr: 0.0000 0.0000 0.5000  4 Sc 3.13, 4 Ti 3.13
Zr: 0.0000 0.5000 0.0000  4 Sc 3.13, 4 Ti 3.13
Zr: 0.5000 0.0000 0.0000  4 Sc 3.13, 4 Ti 3.13
Zr: 0.5000 0.5000 0.5000  4 Sc 3.13, 4 Ti 3.13
Sc: 0.2500 0.2500 0.2500  4 Zr 3.13, 4 Er 3.13
Sc: 0.2500 0.7500 0.7500  4 Zr 3.13, 4 Er 3.13
Sc: 0.7500 0.2500 0.7500  4 Zr 3.13, 4 Er 3.13
Sc: 0.7500 0.7500 0.2500  4 Zr 3.13, 4 Er 3.13
Ti: 0.2500 0.2500 0.7500  4 Zr 3.13, 4 Er 3.13
Ti: 0.2500 0.7500 0.2500  4 Zr 3.13, 4 Er 3.13
Ti: 0.7500 0.2500 0.2500  4 Zr 3.13, 4 Er 3.13
Ti: 0.7500 0.7500 0.7500  4 Zr 3.13, 4 Er 3.13

***

Er6ScTl2 after structural relaxation, computed with PBE.

Results
Formation energy (eV/atom): -0.1433
Total magnetic moment (μB/f.u.): 0.00
E (eV/atom): -4.415

a = 6.5258 Å, b = 6.5258 Å, c = 11.6823 Å
α = 106.70°, β = 106.70°, γ = 32.57°
Last column: nearest neighbours and their distance in Å.
Element x y z (fractional)
Er: 0.0192 0.0192 0.3450  2 Tl 3.24, 7 Er 3.46-3.52
Er: 0.3102 0.3102 0.4111  2 Tl 3.36, 10 Er 3.44-3.66
Er: 0.3246 0.3246 0.1210  2 Tl 3.24, 5 Er 3.42-3.51, 2 Sc 3.47
Er: 0.6754 0.6754 0.8790  2 Tl 3.24, 5 Er 3.42-3.51, 2 Sc 3.47
Er: 0.6898 0.6898 0.5889  2 Tl 3.36, 10 Er 3.44-3.66
Er: 0.9808 0.9808 0.6550  2 Tl 3.24, 7 Er 3.46-3.52
Sc: 0.0000 0.0000 0.0000  4 Tl 3.00
Tl: 0.3607 0.3607 0.8096  2 Sc 3.00, 6 Er 3.24-3.36
Tl: 0.6393 0.6393 0.1904  2 Sc 3.00, 6 Er 3.24-3.36